VASP calculation (PBE+U) on FeNi2IrO6 after structural relaxation.

Lattice parameters (Å, degrees): 5.1299 5.1299 13.7895 90.00 90.00 120.00
With the nearest neighbours (Å) after each atom.
Space group R3 (No. 146, hexagonal axes)
Unique sites:
Fe (0.0000, 0.0000, 0.0000) [3 per cell]  6 O 1.97-2.13
Ni (0.0000, 0.0000, 0.2903) [3 per cell]  6 O 2.03-2.15
Ni (0.0000, 0.0000, 0.7965) [3 per cell]  6 O 2.04-2.10
Ir (0.0000, 0.0000, 0.4916) [3 per cell]  6 O 1.97-2.01
O (0.0343, 0.3485, 0.5635) [9 per cell]  1 Ir 1.97, 2 Ni 2.03-2.10, 1 Fe 2.13
O (0.0361, 0.6771, 0.0653) [9 per cell]  1 Fe 1.97, 1 Ir 2.01, 2 Ni 2.04-2.15

Density (g/cm3): 7.314
Energy (eV per atom): -5.944
Fermi-level density of states (states/eV/atom): 0.359